1.
Crystalline FeTcHg at its relaxed geometry. Source: the Alexandria database, functional PBE-GGA.

Fermi-level density of states   3.37 states/eV/cell
Raw total energy   -5.922 eV/atom
Distance to the lowest polymorph of the same formula   84.1 meV/atom
Energy of formation   1.363 eV per formula unit

abc: 2.850 2.850 6.771
angles: 90.00 90.00 120.00
Element x y z (fractional)
1 Fe 0.000 0.000 0.976
2 Hg 0.667 0.333 0.324
3 Tc 0.333 0.667 0.700

2.
Crystalline Fe2TcHg at its relaxed geometry. Source: the Alexandria database, functional PBE-GGA.

Fermi-level density of states   4.93 states/eV/cell
Raw total energy   -6.376 eV/atom
Energy of formation   2.090 eV per formula unit

abc: 4.747 4.747 4.747
angles: 131.78 131.78 70.58
Element x y z (fractional)
1 Fe 0.000 0.000 0.000
2 Fe 0.250 0.750 0.500
3 Hg 0.500 0.500 0.000
4 Tc 0.750 0.250 0.500

3.
Crystalline Fe2Tc2Hg at its relaxed geometry. Source: the Alexandria database, functional PBE-GGA.

Fermi-level density of states   7.52 states/eV/cell
Raw total energy   -7.254 eV/atom
Energy of formation   1.691 eV per formula unit

abc: 7.257 7.257 2.695
angles: 90.00 90.00 90.00
Element x y z (fractional)
1 Fe 0.379 0.879 0.000
2 Fe 0.879 0.621 0.000
3 Fe 0.621 0.121 0.000
4 Fe 0.121 0.379 0.000
5 Hg 0.000 0.000 0.000
6 Hg 0.500 0.500 0.000
7 Tc 0.164 0.664 0.500
8 Tc 0.664 0.836 0.500
9 Tc 0.836 0.336 0.500
10 Tc 0.336 0.164 0.500

4.
Crystalline Fe2TcHg at its relaxed geometry. Source: the Alexandria database, functional PBE-GGA.

Fermi-level density of states   4.26 states/eV/cell
Raw total energy   -6.412 eV/atom
Energy of formation   1.944 eV per formula unit

abc: 4.069 4.069 3.604
angles: 90.00 90.00 90.00
Element x y z (fractional)
1 Fe 0.000 0.000 0.000
2 Fe 0.500 0.500 0.000
3 Hg 0.500 0.000 0.500
4 Tc 0.000 0.500 0.500

| no. | ρ (g cm⁻³) |
| --- | --- |
| 1 | 12.4 |
| 2 | 11.7 |
| 3 | 11.9 |
| 4 | 11.4 |